# Y2HfSi

A relaxed structure of Y2HfSi (PBE-GGA, Alexandria via LeMat-Bulk).

Uncorrected formation energy, meV per atom: 161
D(E_F), states/eV/atom: 1.255

```
data_Y2HfSi
_chemical_formula_sum 'Y4 Hf2 Si2'
_cell_length_a 6.581
_cell_length_b 6.581
_cell_length_c 6.581
_cell_angle_alpha 101.09
_cell_angle_beta 101.09
_cell_angle_gamma 127.98
_symmetry_space_group_name_H-M 'P 1'
_symmetry_Int_Tables_number 1
_symmetry_space_group_name_Hall 'P 1'
loop_
_atom_site_label
_atom_site_fract_x
_atom_site_fract_y
_atom_site_fract_z
Y1 0.079 0.625 0.954
Y2 0.375 0.329 0.454
Y3 0.671 0.125 0.046
Y4 0.875 0.921 0.546
Hf1 0.250 0.750 0.500
Hf2 0.500 0.500 0.000
Si1 0.000 0.000 0.000
Si2 0.750 0.250 0.500
```